Entry 1:
Compound: Er4ScTl5
Source: Alexandria via LeMat-Bulk
Functional: PBE
Structure: optimized geometry

Results
- energy of formation from the pure elements (eV/atom) = -0.300
- M_tot (μB per cell) = 0.0

Cell lengths 3.674, 3.674, 19.349 Å; angles 90.00, 90.00, 90.00 degrees
Space group P4/mmm (No. 123)
Inequivalent atoms, fractional coordinates:
Er  0.000  0.000  0.103
Er  0.000  0.000  0.308
Sc  0.000  0.000  0.500
Tl  0.500  0.500  0.000
Tl  0.500  0.500  0.206
Tl  0.500  0.500  0.409



Entry 2:
Compound: CaReN3
Source: Alexandria via LeMat-Bulk
Functional: PBE
Structure: optimized geometry

Results
- uncorrected formation energy (eV/atom) = 0.051
- M_tot (μB per cell) = 0.0

Cell lengths 3.455, 3.455, 21.843 Å; angles 90.00, 90.00, 90.00 degrees
Space group I-4m2 (No. 119)
Inequivalent atoms, fractional coordinates:
Ca  0.000  0.000  0.000
Ca  0.000  0.500  0.250
Re  0.000  0.500  0.630
N  0.000  0.000  0.322
N  0.000  0.312  0.098



Entry 3:
Compound: LiGa
Source: Alexandria via LeMat-Bulk
Functional: PBE
Structure: optimized geometry

Results
- energy of formation from the pure elements (eV/atom) = 0.505
- M_tot (μB per cell) = 0.0

Cell lengths 5.899, 5.899, 5.899 Å; angles 90.00, 90.00, 90.00 degrees
Space group F-43m (No. 216)
Inequivalent atoms, fractional coordinates:
Li  0.000  0.000  0.000
Ga  0.250  0.250  0.750



Entry 4:
Compound: AcCe2IO4
Source: Alexandria via LeMat-Bulk
Functional: PBE
Structure: optimized geometry

Results
- uncorrected formation energy (eV/atom) = -3.070
- M_tot (μB per cell) = 2.0

Cell lengths 4.153, 4.153, 9.669 Å; angles 90.00, 90.00, 90.00 degrees
Space group P4/mmm (No. 123)
Inequivalent atoms, fractional coordinates:
Ac  0.000  0.000  0.000
Ce  0.500  0.500  0.262
I  0.000  0.000  0.500
O  0.000  0.500  0.164



Entry 5:
Compound: ZnTc2Au
Source: Alexandria via LeMat-Bulk
Functional: PBE
Structure: optimized geometry

Results
- energy of formation from the pure elements (eV/atom) = 0.251
- M_tot (μB per cell) = 0.0

Cell lengths 2.817, 4.210, 5.206 Å; angles 90.00, 90.00, 90.00 degrees
Space group Pmmm (No. 47)
Inequivalent atoms, fractional coordinates:
Zn  0.000  0.000  0.000
Tc  0.500  0.500  0.223
Au  0.000  0.000  0.500



Entry 6:
Compound: GaFePt
Source: Alexandria via LeMat-Bulk
Functional: PBE
Structure: optimized geometry

Results
- energy of formation from the pure elements (eV/atom) = -0.301
- M_tot (μB per cell) = 9.4

Cell lengths 8.814, 2.902, 6.879 Å; angles 90.00, 102.60, 90.00 degrees
Space group C2/m (No. 12)
Inequivalent atoms, fractional coordinates:
Ga  0.096  0.000  0.245
Fe  0.136  0.500  0.951
Pt  0.159  0.000  0.633



Entry 7:
Compound: HfBi2Pd2
Source: Alexandria via LeMat-Bulk
Functional: PBE
Structure: optimized geometry

Results
- energy of formation from the pure elements (eV/atom) = -0.222
- M_tot (μB per cell) = 0.0

Cell lengths 7.282, 7.282, 4.151 Å; angles 90.00, 90.00, 90.00 degrees
Space group P4/mbm (No. 127)
Inequivalent atoms, fractional coordinates:
Hf  0.000  0.000  0.000
Bi  0.177  0.323  0.500
Pd  0.132  0.632  0.000



Entry 8:
Compound: Ba3LiAu
Source: Alexandria via LeMat-Bulk
Functional: PBE
Structure: optimized geometry

Results
- energy above the lowest structure with this stoichiometry (meV/atom) = 20
- energy of formation from the pure elements (eV/atom) = -0.251
- M_tot (μB per cell) = 0.0

Cell lengths 12.120, 17.271, 4.738 Å; angles 90.00, 90.00, 90.00 degrees
Space group Cmmm (No. 65)
Inequivalent atoms, fractional coordinates:
Ba  0.000  0.179  0.000
Ba  0.190  0.374  0.500
Li  0.000  0.000  0.500
Li  0.000  0.500  0.000
Au  0.250  0.250  0.000



Entry 9:
Compound: La2CBr
Source: Alexandria via LeMat-Bulk
Functional: PBE
Structure: optimized geometry

Results
- uncorrected formation energy (eV/atom) = -0.203
- M_tot (μB per cell) = 0.0

Cell lengths 7.051, 7.051, 7.051 Å; angles 90.00, 90.00, 90.00 degrees
Space group Fm-3m (No. 225)
Inequivalent atoms, fractional coordinates:
La  0.250  0.250  0.250
C  0.000  0.000  0.000
Br  0.000  0.000  0.500



Entry 10:
Compound: NaMgMnSe3
Source: Alexandria via LeMat-Bulk
Functional: PBE
Structure: optimized geometry

Results
- uncorrected formation energy (eV/atom) = -0.845
- M_tot (μB per cell) = 8.0

Cell lengths 7.515, 3.785, 10.894 Å; angles 90.00, 103.79, 90.00 degrees
Space group P2_1/m (No. 11)
Inequivalent atoms, fractional coordinates:
Na  0.136  0.250  0.166
Mg  0.393  0.250  0.882
Mn  0.168  0.750  0.612
Se  0.049  0.750  0.364
Se  0.258  0.750  0.990
Se  0.396  0.250  0.647



Entry 11:
Compound: Pu3CuGe3
Source: Alexandria via LeMat-Bulk
Functional: PBE
Structure: optimized geometry

Results
- energy of formation from the pure elements (eV/atom) = -0.404
- M_tot (μB per cell) = 68.6

Cell lengths 10.555, 4.362, 13.910 Å; angles 90.00, 109.73, 90.00 degrees
Space group C2/m (No. 12)
Inequivalent atoms, fractional coordinates:
Pu  0.030  0.000  0.380
Pu  0.092  0.000  0.915
Pu  0.247  0.500  0.775
Cu  0.248  0.500  0.401
Ge  0.052  0.500  0.238
Ge  0.117  0.500  0.072
Ge  0.135  0.500  0.543



Entry 12:
Compound: TcIr2Rh
Source: Alexandria via LeMat-Bulk
Functional: PBE
Structure: optimized geometry

Results
- energy above the lowest structure with this stoichiometry (meV/atom) = 527
- energy of formation from the pure elements (eV/atom) = 0.397
- M_tot (μB per cell) = 3.0

Cell lengths 6.196, 6.196, 6.196 Å; angles 90.00, 90.00, 90.00 degrees
Space group Fm-3m (No. 225)
Inequivalent atoms, fractional coordinates:
Tc  0.000  0.000  0.000
Ir  0.250  0.250  0.250
Rh  0.000  0.000  0.500